CsTl3Zn4I12 PBE relaxed; formation energy (no corrections) = -0.66 eV/atom; total energy = -2.244 eV/atom; DOS at the Fermi energy = 0.00 states/eV/f.u.
1.0
8.335 4.812 4.633
-8.335 4.812 4.633
0.000 -9.624 4.633
Cs Tl Zn I
1 3 4 12
direct
0.000 0.000 0.000
0.000 0.541 0.459
0.459 0.000 0.541
0.541 0.459 0.000
0.050 0.500 0.950
0.500 0.500 0.500
0.500 0.950 0.050
0.950 0.050 0.500
0.052 0.660 0.805
0.104 0.896 0.500
0.195 0.340 0.948
0.340 0.948 0.195
0.348 0.652 0.500
0.500 0.104 0.896
0.500 0.348 0.652
0.652 0.500 0.348
0.660 0.805 0.052
0.805 0.052 0.660
0.896 0.500 0.104
0.948 0.195 0.340

=====

Ga2Pb4Cl PBE relaxed; formation energy (no corrections) = 0.17 eV/atom; total energy = -3.074 eV/atom; DOS at the Fermi energy = 3.14 states/eV/f.u.
1.0
5.622 0.000 0.000
0.000 5.622 0.000
0.000 0.000 14.941
Ga Pb Cl
4 8 2
direct
0.000 0.000 0.089
0.000 0.000 0.911
0.500 0.500 0.411
0.500 0.500 0.589
0.000 0.000 0.272
0.000 0.000 0.728
0.000 0.500 0.000
0.000 0.500 0.500
0.500 0.000 0.000
0.500 0.000 0.500
0.500 0.500 0.228
0.500 0.500 0.772
0.000 0.000 0.500
0.500 0.500 0.000

=====

Tb2PrHoS4 PBE relaxed; formation energy (no corrections) = -1.99 eV/atom; total energy = -6.384 eV/atom; DOS at the Fermi energy = 4.70 states/eV/f.u.
1.0
6.857 0.000 0.000
0.000 3.919 0.000
-2.246 0.000 6.555
Tb Pr Ho S
2 1 1 4
direct
0.000 0.000 0.000
0.000 0.500 0.500
0.500 0.000 0.500
0.500 0.500 0.000
0.241 0.500 0.238
0.248 0.000 0.758
0.752 0.000 0.242
0.759 0.500 0.762

=====

NpNiPd2 PBE relaxed; formation energy from the elements = -248.9 meV/atom; polymorph energy (0 for the lowest one) = 0 meV per atom; total energy = -7.526 eV/atom; DOS at the Fermi energy = 10.66 states/eV/f.u.
1.0
4.025 0.000 0.000
0.000 4.025 0.000
0.000 0.000 4.153
Np Ni Pd
1 1 2
direct
0.000 0.000 0.000
0.500 0.500 0.000
0.000 0.500 0.500
0.500 0.000 0.500

=====

PmThBi PBE relaxed; formation energy from the elements = -356.0 meV/atom; polymorph energy (0 for the lowest one) = 0 meV per atom; total energy = -5.706 eV/atom; DOS at the Fermi energy = 2.69 states/eV/f.u.
1.0
4.164 0.000 0.000
0.000 4.164 0.000
0.000 0.000 11.064
Pm Th Bi
2 2 2
direct
0.000 0.000 0.000
0.500 0.500 0.500
0.000 0.000 0.693
0.500 0.500 0.193
0.000 0.000 0.351
0.500 0.500 0.851

=====

In2MoP PBE relaxed; formation energy from the elements = 559.9 meV/atom; total energy = -4.870 eV/atom; DOS at the Fermi energy = 2.55 states/eV/f.u.
1.0
3.030 0.000 0.000
-1.515 2.624 0.000
0.000 0.000 29.293
In Mo P
6 3 3
direct
0.000 0.000 0.248
0.000 0.000 0.752
0.333 0.667 0.419
0.333 0.667 0.914
0.667 0.333 0.086
0.667 0.333 0.581
0.000 0.000 0.500
0.333 0.667 0.167
0.667 0.333 0.833
0.000 0.000 0.000
0.333 0.667 0.667
0.667 0.333 0.333

=====

YCdIr3 PBE relaxed; formation energy from the elements = 1763.4 meV/atom; polymorph energy (0 for the lowest one) = 499 meV per atom; total energy = -5.029 eV/atom; DOS at the Fermi energy = 6.42 states/eV/f.u.
1.0
4.982 0.000 0.000
0.000 4.982 0.000
0.000 0.000 4.982
Y Cd Ir
1 1 3
direct
0.000 0.000 0.000
0.500 0.500 0.500
0.000 0.000 0.500
0.000 0.500 0.000
0.500 0.000 0.000

=====

CdSeN2F PBE relaxed; formation energy (no corrections) = 1.69 eV/atom; polymorph energy (0 for the lowest one) = 906 meV per atom; total energy = -2.890 eV/atom; DOS at the Fermi energy = 3.14 states/eV/f.u.
1.0
4.324 0.000 0.000
0.000 4.324 0.000
0.000 0.000 5.831
Cd Se N F
1 1 2 1
direct
0.000 0.000 0.000
0.000 0.000 0.500
0.000 0.500 0.000
0.500 0.000 0.000
0.500 0.500 0.500

=====

Question: DOS at the Fermi energy of number 6 (In2MoP)?
Answer: 2.55 states/eV/f.u.

=====

Question: Which of these has the highest DOS at the Fermi energy?
Answer: NpNiPd2

=====

Question: Which formula does entry 4 have?
Answer: NpNiPd2

=====

Please write out number 2 again, unchanged.
Ga2Pb4Cl PBE relaxed; formation energy (no corrections) = 0.17 eV/atom; total energy = -3.074 eV/atom; DOS at the Fermi energy = 3.14 states/eV/f.u.
1.0
5.622 0.000 0.000
0.000 5.622 0.000
0.000 0.000 14.941
Ga Pb Cl
4 8 2
direct
0.000 0.000 0.089
0.000 0.000 0.911
0.500 0.500 0.411
0.500 0.500 0.589
0.000 0.000 0.272
0.000 0.000 0.728
0.000 0.500 0.000
0.000 0.500 0.500
0.500 0.000 0.000
0.500 0.000 0.500
0.500 0.500 0.228
0.500 0.500 0.772
0.000 0.000 0.500
0.500 0.500 0.000